Record 1
The following is a DFT calculation (PBEsol) of crystalline NbWC2 at its relaxed geometry.

total magnetization	0.0000	μB per atom
formation enthalpy at 0 K	296	meV per atom
DOS(E_F)	0.564	states/eV/atom

abc: 4.7359 4.7359 5.8127
angles: 114.04 114.04 90.00
Atoms (fractional coordinates):
Nb 0.7500 0.2500 0.5000
Nb 0.5000 0.5000 0.0000
C 0.3584 0.8750 0.2500
C 0.8916 0.3750 0.2500
C 0.1250 0.1084 0.7500
C 0.6250 0.6416 0.7500
W 0.2500 0.7500 0.5000
W 0.0000 0.0000 0.0000

***

Record 2
The following is a DFT calculation (PBEsol) of crystalline Nb4Zn2C at its relaxed geometry.

total magnetization	0.0000	μB per atom
formation enthalpy at 0 K	-239	meV per atom
DOS(E_F)	0.610	states/eV/atom

abc: 8.3592 8.3592 8.3592
angles: 60.00 60.00 60.00
Atoms (fractional coordinates):
Nb 0.6902 0.3098 0.6902
Nb 0.5598 0.9402 0.9402
Nb 0.9402 0.5598 0.5598
Nb 0.9402 0.5598 0.9402
Nb 0.5598 0.5598 0.9402
Nb 0.9402 0.9402 0.5598
Nb 0.6902 0.6902 0.3098
Nb 0.6902 0.3098 0.3098
Nb 0.3098 0.6902 0.6902
Nb 0.3098 0.3098 0.6902
Nb 0.5598 0.9402 0.5598
Nb 0.3098 0.6902 0.3098
Nb 0.6250 0.1250 0.1250
Nb 0.1250 0.1250 0.1250
Nb 0.1250 0.1250 0.6250
Nb 0.1250 0.6250 0.1250
Zn 0.2676 0.9108 0.9108
Zn 0.3392 0.3392 0.3392
Zn 0.3392 0.3392 0.9824
Zn 0.3392 0.9824 0.3392
Zn 0.9108 0.9108 0.2676
Zn 0.9108 0.2676 0.9108
Zn 0.9108 0.9108 0.9108
Zn 0.9824 0.3392 0.3392
C 0.1250 0.6250 0.6250
C 0.6250 0.6250 0.6250
C 0.6250 0.6250 0.1250
C 0.6250 0.1250 0.6250

***

Record 3
The following is a DFT calculation (PBEsol) of crystalline NbZn3C at its relaxed geometry.

total magnetization	0.0026	μB per atom
formation enthalpy at 0 K	2518	meV per atom
DOS(E_F)	1.024	states/eV/atom

abc: 4.9855 4.9855 4.9855
angles: 90.00 90.00 90.00
Last column: magnetic moment on the atom in μB.
Atoms (fractional coordinates):
C 0.5000 0.5000 0.5000  0.77
Nb 0.0000 0.0000 0.0000  -1.06
Zn 0.0000 0.5000 0.0000  -0.05
Zn 0.0000 0.0000 0.5000  -0.05
Zn 0.5000 0.0000 0.0000  -0.05

***

Record 4
The following is a DFT calculation (PBEsol) of crystalline Zr3NbC4 at its relaxed geometry.

total magnetization	0.0000	μB per atom
formation enthalpy at 0 K	-839	meV per atom
DOS(E_F)	0.269	states/eV/atom

abc: 3.2636 3.2636 10.8354
angles: 81.34 81.34 60.00
Atoms (fractional coordinates):
Nb 0.0000 0.0000 0.0000
C 0.6274 0.6274 0.1177
C 0.8758 0.8758 0.3725
C 0.3726 0.3726 0.8823
C 0.1242 0.1242 0.6275
Zr 0.7488 0.7488 0.7536
Zr 0.5000 0.5000 0.5000
Zr 0.2512 0.2512 0.2464

***

Record 5
The following is a DFT calculation (PBEsol) of crystalline ZrNbC2 at its relaxed geometry.

total magnetization	0.0000	μB per atom
formation enthalpy at 0 K	-762	meV per atom
DOS(E_F)	0.299	states/eV/atom

abc: 5.6053 5.6053 5.6054
angles: 33.39 33.39 33.39
Atoms (fractional coordinates):
Nb 0.5000 0.5000 0.5000
C 0.2467 0.2467 0.2467
C 0.7533 0.7533 0.7533
Zr 0.0000 0.0000 0.0000

***

Record 6
The following is a DFT calculation (PBEsol) of crystalline Nd2C3 at its relaxed geometry.

total magnetization	0.0000	μB per atom
formation enthalpy at 0 K	-203	meV per atom
DOS(E_F)	0.270	states/eV/atom

abc: 7.3622 7.3622 7.3622
angles: 109.47 109.47 109.47
Atoms (fractional coordinates):
Nd 0.5000 0.1031 0.5000
Nd 0.8969 0.8969 0.3969
Nd 0.6031 0.0000 0.0000
Nd 0.0000 0.5000 0.1031
Nd 0.1031 0.0000 0.0000
Nd 0.0000 0.5000 0.6031
Nd 0.3969 0.3969 0.8969
Nd 0.5000 0.6031 0.5000
C 0.2033 0.2500 0.4533
C 0.0467 0.2500 0.2967
C 0.2500 0.7967 0.5467
C 0.7967 0.0467 0.7500
C 0.7500 0.7033 0.9533
C 0.7033 0.4533 0.2500
C 0.2967 0.7500 0.0467
C 0.9533 0.2033 0.7500
C 0.4533 0.7500 0.2033
C 0.2500 0.9533 0.7033
C 0.7500 0.5467 0.7967
C 0.5467 0.2967 0.2500

***

Record 7
The following is a DFT calculation (PBEsol) of crystalline NdC2 at its relaxed geometry.

total magnetization	0.0000	μB per atom
formation enthalpy at 0 K	-108	meV per atom
DOS(E_F)	0.250	states/eV/atom

abc: 3.7869 4.1772 3.7869
angles: 63.05 90.00 116.95
Atoms (fractional coordinates):
C 0.3988 0.7977 0.6012
C 0.6012 0.2023 0.3988
Nd 0.0000 0.0000 0.0000

***

Record 8
The following is a DFT calculation (PBEsol) of crystalline NdNiC2 at its relaxed geometry.

total magnetization	0.0000	μB per atom
formation enthalpy at 0 K	-309	meV per atom
DOS(E_F)	0.438	states/eV/atom

abc: 3.7578 3.7578 3.7867
angles: 90.00 90.00 106.34
Atoms (fractional coordinates):
Ni 0.3843 0.6157 0.5000
C 0.5429 0.1533 0.5000
C 0.8467 0.4571 0.5000
Nd 0.9961 0.0039 0.0000

***

Record 9
The following is a DFT calculation (PBEsol) of crystalline Nd12Os5C15 at its relaxed geometry.

total magnetization	0.0000	μB per atom
formation enthalpy at 0 K	-259	meV per atom
DOS(E_F)	0.459	states/eV/atom

abc: 5.2735 10.8649 10.8649
angles: 120.00 90.00 90.00
Atoms (fractional coordinates):
Nd 0.5000 0.2052 0.2052
Nd 0.5000 0.0000 0.7948
Nd 0.5000 0.7948 0.0000
Nd 0.0000 0.7265 0.1853
Nd 0.0000 0.4588 0.2735
Nd 0.0000 0.5412 0.8147
Nd 0.0000 0.8147 0.5412
Nd 0.0000 0.1853 0.7265
Nd 0.0000 0.2735 0.4588
Nd 0.5000 0.5719 0.5719
Nd 0.5000 0.0000 0.4281
Nd 0.5000 0.4281 0.0000
Os 0.0000 0.8396 0.8396
Os 0.0000 0.0000 0.1604
Os 0.0000 0.1604 0.0000
Os 0.5000 0.6667 0.3333
Os 0.5000 0.3333 0.6667
C 0.0000 0.6676 0.6676
C 0.0000 0.0000 0.3324
C 0.0000 0.3324 0.0000
C 0.0000 0.2012 0.2012
C 0.0000 0.0000 0.7988
C 0.0000 0.7988 0.0000
C 0.0000 0.5449 0.5449
C 0.0000 0.0000 0.4551
C 0.0000 0.4551 0.0000
C 0.5000 0.7128 0.1855
C 0.5000 0.4727 0.2872
C 0.5000 0.5273 0.8145
C 0.5000 0.8145 0.5273
C 0.5000 0.1855 0.7128
C 0.5000 0.2872 0.4727

***

Record 10
The following is a DFT calculation (PBEsol) of crystalline NdSiOs2C at its relaxed geometry.

total energy	-9.50	eV/atom
total magnetization	0.0000	μB per atom
DOS(E_F)	0.575	states/eV/atom

abc: 3.9416 5.8607 7.1274
angles: 90.00 90.00 109.65
Atoms (fractional coordinates):
Nd 0.4504 0.9008 0.2500
Nd 0.5496 0.0992 0.7500
Si 0.7296 0.4593 0.2500
Si 0.2704 0.5407 0.7500
Os 0.1665 0.3331 0.4399
Os 0.8335 0.6669 0.5601
Os 0.8335 0.6669 0.9399
Os 0.1665 0.3331 0.0601
C 0.0000 0.0000 0.5000
C 0.0000 0.0000 0.0000

***

Record 11
The following is a DFT calculation (PBEsol) of crystalline Nd2ReC2 at its relaxed geometry.

total magnetization	0.0000	μB per atom
formation enthalpy at 0 K	-282	meV per atom
DOS(E_F)	0.346	states/eV/atom

abc: 5.2993 6.6507 10.0824
angles: 90.00 90.00 90.00
Atoms (fractional coordinates):
Nd 0.7500 0.0256 0.7138
Nd 0.2500 0.4744 0.2138
Nd 0.7500 0.5256 0.7862
Nd 0.2500 0.9744 0.2862
Nd 0.7500 0.6887 0.4496
Nd 0.2500 0.8113 0.9496
Nd 0.7500 0.1887 0.0504
Nd 0.2500 0.3113 0.5504
Re 0.7500 0.2293 0.3590
Re 0.2500 0.2707 0.8590
Re 0.7500 0.7293 0.1410
Re 0.2500 0.7707 0.6410
C 0.7500 0.8152 0.9601
C 0.2500 0.6848 0.4601
C 0.7500 0.3152 0.5399
C 0.2500 0.1848 0.0399
C 0.7500 0.4652 0.2420
C 0.2500 0.0348 0.7420
C 0.7500 0.9652 0.2580
C 0.2500 0.5348 0.7580

***

Record 12
The following is a DFT calculation (PBEsol) of crystalline Nd2Re2Si2C at its relaxed geometry.

total energy	-8.90	eV/atom
total magnetization	0.0000	μB per atom
DOS(E_F)	0.496	states/eV/atom

abc: 4.0205 5.8692 6.0700
angles: 72.99 70.66 69.97
Atoms (fractional coordinates):
Re 0.2054 0.6764 0.9128
Re 0.7946 0.3236 0.0872
Si 0.1453 0.4011 0.3083
Si 0.8547 0.5989 0.6917
Nd 0.5729 0.1567 0.6976
Nd 0.4271 0.8433 0.3024
C 0.0000 0.0000 0.0000